No. 1
# La2Tb3Tl3 PBE optimized geometry
data_La2Tb3Tl3
_chemical_formula_sum 'La2 Tb3 Tl3'
_symmetry_space_group_name_H-M 'P m m m'
_symmetry_Int_Tables_number 47
_cell_length_a 4.981
_cell_length_b 5.127
_cell_length_c 9.385
_cell_angle_alpha 90.00
_cell_angle_beta 90.00
_cell_angle_gamma 90.00
loop_
_symmetry_equiv_pos_as_xyz
'x,y,z'
'-x,-y,-z'
'-x,-y,z'
'x,y,-z'
'x,-y,-z'
'-x,y,z'
'-x,y,-z'
'x,-y,z'
loop_
_atom_site_label
_atom_site_type_symbol
_atom_site_fract_x
_atom_site_fract_y
_atom_site_fract_z
La1 La 0.000 0.000 0.246
Tb1 Tb 0.500 0.000 0.500
Tb2 Tb 0.500 0.500 0.230
Tl1 Tl 0.000 0.500 0.000
Tl2 Tl 0.000 0.500 0.500
Tl3 Tl 0.500 0.000 0.000
# calculated volume	29.957	A^3/atom
# E	-32.922	eV per cell
# Fermi-level density of states	7.92	states/eV/f.u.
# spin magnetization	0.00	μB/f.u.
# offset from the most stable computed form	0	meV per atom

=====

No. 2
# La5TbTl6 PBE optimized geometry
data_La5TbTl6
_chemical_formula_sum 'La10 Tb2 Tl12'
_symmetry_space_group_name_H-M 'C m m m'
_symmetry_Int_Tables_number 65
_symmetry_space_group_name_Hall '-C 2 2'
_cell_length_a 5.617
_cell_length_b 16.876
_cell_length_c 7.840
_cell_angle_alpha 90.00
_cell_angle_beta 90.00
_cell_angle_gamma 90.00
loop_
_atom_site_label
_atom_site_type_symbol
_atom_site_fract_x
_atom_site_fract_y
_atom_site_fract_z
La1 La 0.000 0.000 0.000
La2 La 0.000 0.329 0.000
La3 La 0.000 0.334 0.500
Tb1 Tb 0.000 0.000 0.500
Tl1 Tl 0.000 0.162 0.257
Tl2 Tl 0.000 0.500 0.254
# calculated volume	30.969	A^3/atom
# E	-96.791	eV per cell
# Fermi-level density of states	11.98	states/eV/f.u.
# spin magnetization	0.00	μB/f.u.

=====

No. 3
# La2Tb2Tl3 PBE optimized geometry
data_La2Tb2Tl3
_chemical_formula_sum 'La4 Tb4 Tl6'
_symmetry_space_group_name_H-M 'I m m m'
_symmetry_Int_Tables_number 71
_symmetry_space_group_name_Hall '-I 2 2'
_cell_length_a 5.413
_cell_length_b 5.544
_cell_length_c 15.124
_cell_angle_alpha 90.00
_cell_angle_beta 90.00
_cell_angle_gamma 90.00
loop_
_atom_site_label
_atom_site_type_symbol
_atom_site_fract_x
_atom_site_fract_y
_atom_site_fract_z
La1 La 0.000 0.000 0.125
Tb1 Tb 0.000 0.000 0.381
Tl1 Tl 0.000 0.500 0.000
Tl2 Tl 0.000 0.500 0.251
# calculated volume	32.419	A^3/atom
# E	-55.990	eV per cell
# Fermi-level density of states	7.05	states/eV/f.u.
# spin magnetization	0.00	μB/f.u.
# offset from the most stable computed form	3	meV per atom

=====

No. 4
# La2Tb3Tl PBE optimized geometry
data_La2Tb3Tl
_chemical_formula_sum 'La8 Tb12 Tl4'
_symmetry_space_group_name_H-M 'C m c m'
_symmetry_Int_Tables_number 63
_symmetry_space_group_name_Hall '-C 2c 2'
_cell_length_a 17.632
_cell_length_b 6.376
_cell_length_c 7.041
_cell_angle_alpha 90.00
_cell_angle_beta 90.00
_cell_angle_gamma 90.00
loop_
_atom_site_label
_atom_site_type_symbol
_atom_site_fract_x
_atom_site_fract_y
_atom_site_fract_z
La1 La 0.183 0.030 0.250
Tb1 Tb 0.000 0.171 0.750
Tb2 Tb 0.135 0.500 0.000
Tl1 Tl 0.000 0.308 0.250
# calculated volume	32.983	A^3/atom
# E	-106.013	eV per cell
# Fermi-level density of states	8.27	states/eV/f.u.
# spin magnetization	0.00	μB/f.u.
# offset from the most stable computed form	24	meV per atom

=====

No. 5
# LaTbTl2 PBE optimized geometry
data_LaTbTl2
_chemical_formula_sum 'La3 Tb3 Tl6'
_symmetry_space_group_name_H-M 'R 3 m'
_symmetry_Int_Tables_number 160
_symmetry_space_group_name_Hall 'R 3 -2"'
_cell_length_a 3.7257
_cell_length_b 3.7257
_cell_length_c 31.1034
_cell_angle_alpha 90.00
_cell_angle_beta 90.00
_cell_angle_gamma 120.00
loop_
_atom_site_label
_atom_site_type_symbol
_atom_site_fract_x
_atom_site_fract_y
_atom_site_fract_z
La1 La 0.0000 0.0000 0.0000
Tb1 Tb 0.0000 0.0000 0.8305
Tl1 Tl 0.0000 0.0000 0.4184
Tl2 Tl 0.0000 0.0000 0.5779
# calculated volume	31.158	A^3/atom
# E	-45.594	eV per cell
# Fermi-level density of states	4.66	states/eV/f.u.
# spin magnetization	0.00	μB/f.u.

=====

No. 6
# La15Tb4Tl PBE optimized geometry
data_La15Tb4Tl
_chemical_formula_sum 'La15 Tb4 Tl1'
_symmetry_space_group_name_H-M 'P 4/m m m'
_symmetry_Int_Tables_number 123
_symmetry_space_group_name_Hall '-P 4 2'
_cell_length_a 5.174
_cell_length_b 5.174
_cell_length_c 26.073
_cell_angle_alpha 90.00
_cell_angle_beta 90.00
_cell_angle_gamma 90.00
loop_
_atom_site_label
_atom_site_type_symbol
_atom_site_fract_x
_atom_site_fract_y
_atom_site_fract_z
La1 La 0.000 0.000 0.000
La2 La 0.000 0.000 0.199
La3 La 0.000 0.000 0.399
La4 La 0.000 0.500 0.098
La5 La 0.000 0.500 0.299
La6 La 0.000 0.500 0.500
Tb1 Tb 0.500 0.500 0.198
Tb2 Tb 0.500 0.500 0.400
Tl1 Tl 0.500 0.500 0.000
# calculated volume	34.902	A^3/atom
# E	-95.479	eV per cell
# Fermi-level density of states	28.35	states/eV/f.u.
# spin magnetization	0.00	μB/f.u.

=====

No. 7
# LaTb6Tl PBE optimized geometry
data_LaTb6Tl
_chemical_formula_sum 'La1 Tb6 Tl1'
_symmetry_space_group_name_H-M 'P 4/m m m'
_symmetry_Int_Tables_number 123
_symmetry_space_group_name_Hall '-P 4 2'
_cell_length_a 4.926
_cell_length_b 4.926
_cell_length_c 10.249
_cell_angle_alpha 90.00
_cell_angle_beta 90.00
_cell_angle_gamma 90.00
loop_
_atom_site_label
_atom_site_type_symbol
_atom_site_fract_x
_atom_site_fract_y
_atom_site_fract_z
La1 La 0.000 0.000 0.000
Tb1 Tb 0.000 0.500 0.259
Tb2 Tb 0.500 0.500 0.000
Tb3 Tb 0.500 0.500 0.500
Tl1 Tl 0.000 0.000 0.500
# calculated volume	31.092	A^3/atom
# E	-35.529	eV per cell
# Fermi-level density of states	10.56	states/eV/f.u.
# spin magnetization	0.00	μB/f.u.

=====

No. 8
# La3Tb2Tl3 PBE optimized geometry
data_La3Tb2Tl3
_chemical_formula_sum 'La6 Tb4 Tl6'
_symmetry_space_group_name_H-M 'I m m m'
_symmetry_Int_Tables_number 71
_symmetry_space_group_name_Hall '-I 2 2'
_cell_length_a 3.898
_cell_length_b 5.610
_cell_length_c 23.346
_cell_angle_alpha 90.00
_cell_angle_beta 90.00
_cell_angle_gamma 90.00
loop_
_atom_site_label
_atom_site_type_symbol
_atom_site_fract_x
_atom_site_fract_y
_atom_site_fract_z
La1 La 0.000 0.000 0.000
La2 La 0.000 0.500 0.125
Tb1 Tb 0.000 0.000 0.235
Tl1 Tl 0.000 0.000 0.500
Tl2 Tl 0.000 0.500 0.376
# calculated volume	31.909	A^3/atom
# E	-67.090	eV per cell
# Fermi-level density of states	9.81	states/eV/f.u.
# spin magnetization	0.00	μB/f.u.
# offset from the most stable computed form	0	meV per atom

=====

No. 9
# La9Tb2Tl PBE optimized geometry
data_La9Tb2Tl
_chemical_formula_sum 'La9 Tb2 Tl1'
_symmetry_space_group_name_H-M 'P 4/m m m'
_symmetry_Int_Tables_number 123
_symmetry_space_group_name_Hall '-P 4 2'
_cell_length_a 5.147
_cell_length_b 5.147
_cell_length_c 15.665
_cell_angle_alpha 90.00
_cell_angle_beta 90.00
_cell_angle_gamma 90.00
loop_
_atom_site_label
_atom_site_type_symbol
_atom_site_fract_x
_atom_site_fract_y
_atom_site_fract_z
La1 La 0.000 0.000 0.000
La2 La 0.000 0.000 0.334
La3 La 0.000 0.500 0.163
La4 La 0.000 0.500 0.500
Tb1 Tb 0.500 0.500 0.331
Tl1 Tl 0.500 0.500 0.000
# calculated volume	34.582	A^3/atom
# E	-56.735	eV per cell
# Fermi-level density of states	15.87	states/eV/f.u.
# spin magnetization	0.00	μB/f.u.

=====

No. 10
# La2Tb5Tl4 PBE optimized geometry
data_La2Tb5Tl4
_chemical_formula_sum 'La4 Tb10 Tl8'
_symmetry_space_group_name_H-M 'I m m m'
_symmetry_Int_Tables_number 71
_symmetry_space_group_name_Hall '-I 2 2'
_cell_length_a 5.073
_cell_length_b 11.110
_cell_length_c 13.504
_cell_angle_alpha 90.00
_cell_angle_beta 90.00
_cell_angle_gamma 90.00
loop_
_atom_site_label
_atom_site_type_symbol
_atom_site_fract_x
_atom_site_fract_y
_atom_site_fract_z
La1 La 0.000 0.000 0.165
Tb1 Tb 0.000 0.346 0.218
Tb2 Tb 0.000 0.500 0.500
Tl1 Tl 0.000 0.000 0.393
Tl2 Tl 0.000 0.224 0.000
# calculated volume	34.594	A^3/atom
# E	-81.500	eV per cell
# Fermi-level density of states	12.99	states/eV/f.u.
# spin magnetization	0.00	μB/f.u.

=====

Formation energy from the elements list, top to bottom, in meV per atom: -260; -411; -254; -65; -227; -34; -57; -300; -63; 156